A relaxed structure of NaGe3Te3, computed with PBE.

a = 8.0624 Å, b = 8.0624 Å, c = 8.0624 Å
α = 68.08°, β = 68.08°, γ = 68.08°
Closest atoms and distances in Å follow each position.
Fractional coordinates of all 14 atoms:
Na1 0.1465 0.1465 0.1465  3 Ge 3.20, 6 Te 3.28-3.52
Na2 0.8535 0.8535 0.8535  3 Ge 3.20, 6 Te 3.28-3.52
Ge1 0.0552 0.3805 0.7573  3 Te 2.79-2.92
Ge2 0.2427 0.9448 0.6195  3 Te 2.79-2.92
Ge3 0.3805 0.7573 0.0552  3 Te 2.79-2.92
Ge4 0.6195 0.2427 0.9448  3 Te 2.79-2.92
Ge5 0.7573 0.0552 0.3805  3 Te 2.79-2.92
Ge6 0.9448 0.6195 0.2427  3 Te 2.79-2.92
Te1 0.0566 0.7295 0.4652  3 Ge 2.79-2.92
Te2 0.2705 0.5348 0.9434  3 Ge 2.79-2.92
Te3 0.4652 0.0566 0.7295  3 Ge 2.79-2.92
Te4 0.5348 0.9434 0.2705  3 Ge 2.79-2.92
Te5 0.7295 0.4652 0.0566  3 Ge 2.79-2.92
Te6 0.9434 0.2705 0.5348  3 Ge 2.79-2.92

Computed properties:
N(E_F) (states/eV/cell): 3.966
E_form (uncorrected) (eV/atom): -0.06
Space group: R-3
Crystal system: trigonal